Material: Nd6GaGe2
Method: DFT, PBE
State: relaxed

```
18
Lattice="-3.429 6.608 -4.675 5.999 -4.471 -4.616 -6.390 -5.628 2.185" Properties=species:S:1:pos:R:3 pbc="T T T"
Nd 0.485 -6.159 -4.336
Nd -2.035 -2.362 -1.106
Nd -2.228 -7.351 -2.307
Nd 0.619 -2.696 -3.502
Nd -4.440 -0.795 -3.604
Nd -2.770 -4.233 -4.192
Nd -1.051 0.742 -2.914
Nd -1.786 -1.129 -6.000
Nd 0.151 1.741 -7.257
Nd -3.971 -5.232 0.150
Nd -4.305 2.668 -2.770
Nd -1.592 3.860 -4.799
Ge 1.238 -0.147 -4.938
Ge -6.303 0.629 -1.598
Ge -3.517 0.351 -0.892
Ge -5.058 -3.344 -2.168
Ga -0.196 -5.050 -1.216
Ga 0.000 0.000 0.000
```

Calculated values
D(E_F) in states/eV/cell: 14.09
Space group: Immm (71)
Formation energy in eV/atom: -0.5270